(1)
# TeP2PbO8 PBE-GGA optimized geometry
# **DFT total energy**: -233.0 eV/cell
# **Formation energy without anion corrections**: -1.70 eV/atom
data_TeP2PbO8
_chemical_formula_sum 'Te3 P6 Pb3 O24'
_space_group_name_H-M_alt 'R 3 2'
_space_group_IT_number 155
_space_group_name_Hall 'R 3 2"'
_cell_length_a 4.8947
_cell_length_b 4.8947
_cell_length_c 23.6420
_cell_angle_alpha 90.00
_cell_angle_beta 90.00
_cell_angle_gamma 120.00
loop_
_atom_site_label
_atom_site_fract_x
_atom_site_fract_y
_atom_site_fract_z
Te1 0.0000 0.0000 0.0000
P1 0.0000 0.0000 0.2516
Pb1 0.0000 0.0000 0.5000
O1 0.0000 0.0000 0.1867
O2 0.0127 0.3075 0.7265


(2)
# TeP2PbO PBE-GGA optimized geometry
# **DFT total energy**: -20.9 eV/cell
# **Energy relative to the lowest polymorph listed for this composition**: 0 meV per atom
# **Formation energy without anion corrections**: 0.34 eV/atom
data_TeP2PbO
_chemical_formula_sum 'Te1 P2 Pb1 O1'
_space_group_name_H-M_alt 'P 4/m m m'
_space_group_IT_number 123
_space_group_name_Hall '-P 4 2'
_cell_length_a 5.5078
_cell_length_b 5.5078
_cell_length_c 4.0957
_cell_angle_alpha 90.00
_cell_angle_beta 90.00
_cell_angle_gamma 90.00
loop_
_atom_site_label
_atom_site_fract_x
_atom_site_fract_y
_atom_site_fract_z
Te1 0.0000 0.0000 0.0000
P1 0.0000 0.5000 0.0000
Pb1 0.5000 0.5000 0.5000
O1 0.0000 0.0000 0.5000


(3)
# TeP2PbO PBE-GGA optimized geometry
# **DFT total energy**: -19.1 eV/cell
# **Energy relative to the lowest polymorph listed for this composition**: 365 meV per atom
# **Formation energy without anion corrections**: 0.71 eV/atom
data_TeP2PbO
_chemical_formula_sum 'Te1 P2 Pb1 O1'
_space_group_name_H-M_alt 'P 4/m m m'
_space_group_IT_number 123
_space_group_name_Hall '-P 4 2'
_cell_length_a 5.3769
_cell_length_b 5.3769
_cell_length_c 4.1735
_cell_angle_alpha 90.00
_cell_angle_beta 90.00
_cell_angle_gamma 90.00
loop_
_atom_site_label
_atom_site_fract_x
_atom_site_fract_y
_atom_site_fract_z
Te1 0.0000 0.0000 0.0000
P1 0.0000 0.5000 0.5000
Pb1 0.5000 0.5000 0.5000
O1 0.5000 0.5000 0.0000


(4)
# Zn3Te2P2Pb2O14 PBE-GGA optimized geometry
# **DFT total energy**: -270.1 eV/cell
# **Formation energy without anion corrections**: -1.62 eV/atom
data_Zn3Te2P2Pb2O14
_chemical_formula_sum 'Zn6 Te4 P4 Pb4 O28'
_space_group_name_H-M_alt 'P 1 21/c 1'
_space_group_IT_number 14
_space_group_name_Hall '-P 2ybc'
_cell_length_a 5.3297
_cell_length_b 8.0347
_cell_length_c 15.4826
_cell_angle_alpha 90.00
_cell_angle_beta 90.04
_cell_angle_gamma 90.00
loop_
_atom_site_label
_atom_site_fract_x
_atom_site_fract_y
_atom_site_fract_z
Zn1 0.0000 0.0000 0.0000
Zn2 0.0099 0.1086 0.3839
Te1 0.4854 0.2214 0.5105
P1 0.0415 0.2361 0.1913
Pb1 0.4966 0.5637 0.6982
O1 0.1112 0.1004 0.1240
O2 0.1531 0.0936 0.6621
O3 0.1869 0.1928 0.2774
O4 0.2443 0.7409 0.2930
O5 0.2503 0.7397 0.5719
O6 0.2917 0.1112 0.9485
O7 0.2960 0.0447 0.4579


(5)
# Th4P6PbO24 PBE-GGA optimized geometry
# **DFT total energy**: -283.9 eV/cell
# **Formation energy without anion corrections**: -2.83 eV/atom
data_Th4P6PbO24
_chemical_formula_sum 'Th4 P6 Pb1 O24'
_space_group_name_H-M_alt 'P 1'
_space_group_IT_number 1
_space_group_name_Hall 'P 1'
_cell_length_a 6.9091
_cell_length_b 8.2971
_cell_length_c 9.4926
_cell_angle_alpha 79.46
_cell_angle_beta 68.88
_cell_angle_gamma 89.85
loop_
_atom_site_label
_atom_site_fract_x
_atom_site_fract_y
_atom_site_fract_z
Th1 0.0000 0.0000 0.0000
Th2 0.1147 0.0694 0.3812
Th3 0.3034 0.5668 0.3859
Th4 0.8044 0.4829 0.0019
P1 0.1594 0.2830 0.6910
P2 0.2759 0.3453 0.0741
P3 0.4638 0.8416 0.0696
P4 0.6541 0.2127 0.3174
P5 0.8397 0.7172 0.3067
P6 0.9778 0.7891 0.6896
Pb1 0.4797 0.9120 0.6519
O1 0.0574 0.8256 0.8147
O2 0.1077 0.2598 0.5493
O3 0.1421 0.4535 0.0033
O4 0.1751 0.7904 0.5409
O5 0.2032 0.1582 0.0994
O6 0.2271 0.3592 0.2465
O7 0.2779 0.1370 0.7428
O8 0.2795 0.4524 0.6396
O9 0.3287 0.8619 0.2364
O10 0.3405 0.8762 0.9610
O11 0.4561 0.0945 0.3908
O12 0.5066 0.6545 0.0995
O13 0.5093 0.3734 0.9819
O14 0.6014 0.3966 0.2947
O15 0.6056 0.6928 0.4030
O16 0.6695 0.9475 0.0033
O17 0.7794 0.1979 0.1469
O18 0.7844 0.1763 0.4190
O19 0.8449 0.6260 0.7541
O20 0.8582 0.9310 0.6348
O21 0.8872 0.6974 0.1368
O22 0.9117 0.9045 0.2813
O23 0.9610 0.2723 0.8405
O24 0.9705 0.6105 0.3823


(6)
# ThP2PbO8 PBE-GGA optimized geometry
# **DFT total energy**: -275.5 eV/cell
# **Formation energy without anion corrections**: -2.52 eV/atom
data_ThP2PbO8
_chemical_formula_sum 'Th3 P6 Pb3 O24'
_space_group_name_H-M_alt 'R -3'
_space_group_IT_number 148
_space_group_name_Hall '-R 3'
_cell_length_a 5.0763
_cell_length_b 5.0763
_cell_length_c 22.7960
_cell_angle_alpha 90.00
_cell_angle_beta 90.00
_cell_angle_gamma 120.00
loop_
_atom_site_label
_atom_site_fract_x
_atom_site_fract_y
_atom_site_fract_z
Th1 0.0000 0.0000 0.0000
P1 0.0000 0.0000 0.2464
Pb1 0.0000 0.0000 0.5000
O1 0.0000 0.0000 0.1795
O2 0.0096 0.2925 0.2710


(7)
# TlPPbO2 PBE-GGA optimized geometry
# **DFT total energy**: -20.4 eV/cell
# **Energy relative to the lowest polymorph listed for this composition**: 186 meV per atom
# **Formation energy without anion corrections**: 0.21 eV/atom
data_TlPPbO2
_chemical_formula_sum 'Tl1 P1 Pb1 O2'
_space_group_name_H-M_alt 'P 4/m m m'
_space_group_IT_number 123
_space_group_name_Hall '-P 4 2'
_cell_length_a 4.2877
_cell_length_b 4.2877
_cell_length_c 5.2830
_cell_angle_alpha 90.00
_cell_angle_beta 90.00
_cell_angle_gamma 90.00
loop_
_atom_site_label
_atom_site_fract_x
_atom_site_fract_y
_atom_site_fract_z
Tl1 0.0000 0.0000 0.0000
P1 0.0000 0.0000 0.5000
Pb1 0.5000 0.5000 0.5000
O1 0.0000 0.5000 0.0000


(8)
# TlP2PbO PBE-GGA optimized geometry
# **DFT total energy**: -18.4 eV/cell
# **Energy relative to the lowest polymorph listed for this composition**: 63 meV per atom
# **Formation energy without anion corrections**: 0.69 eV/atom
data_TlP2PbO
_chemical_formula_sum 'Tl1 P2 Pb1 O1'
_space_group_name_H-M_alt 'P 4/m m m'
_space_group_IT_number 123
_space_group_name_Hall '-P 4 2'
_cell_length_a 5.2598
_cell_length_b 5.2598
_cell_length_c 4.3717
_cell_angle_alpha 90.00
_cell_angle_beta 90.00
_cell_angle_gamma 90.00
loop_
_atom_site_label
_atom_site_fract_x
_atom_site_fract_y
_atom_site_fract_z
Tl1 0.0000 0.0000 0.0000
P1 0.0000 0.5000 0.0000
Pb1 0.5000 0.5000 0.5000
O1 0.0000 0.0000 0.5000


(9)
# TlP2PbO PBE-GGA optimized geometry
# **DFT total energy**: -18.7 eV/cell
# **Energy relative to the lowest polymorph listed for this composition**: 0 meV per atom
# **Formation energy without anion corrections**: 0.63 eV/atom
data_TlP2PbO
_chemical_formula_sum 'Tl1 P2 Pb1 O1'
_space_group_name_H-M_alt 'P 4/m m m'
_space_group_IT_number 123
_space_group_name_Hall '-P 4 2'
_cell_length_a 5.5273
_cell_length_b 5.5273
_cell_length_c 4.3502
_cell_angle_alpha 90.00
_cell_angle_beta 90.00
_cell_angle_gamma 90.00
loop_
_atom_site_label
_atom_site_fract_x
_atom_site_fract_y
_atom_site_fract_z
Tl1 0.0000 0.0000 0.0000
P1 0.0000 0.5000 0.5000
Pb1 0.5000 0.5000 0.5000
O1 0.5000 0.5000 0.0000


(10)
# Tl2P2PbO7 PBE-GGA optimized geometry
# **DFT total energy**: -225.6 eV/cell
# **Formation energy without anion corrections**: -1.77 eV/atom
data_Tl2P2PbO7
_chemical_formula_sum 'Tl6 P6 Pb3 O21'
_space_group_name_H-M_alt 'R 3 2'
_space_group_IT_number 155
_space_group_name_Hall 'R 3 2"'
_cell_length_a 5.8383
_cell_length_b 5.8383
_cell_length_c 21.6815
_cell_angle_alpha 90.00
_cell_angle_beta 90.00
_cell_angle_gamma 120.00
loop_
_atom_site_label
_atom_site_fract_x
_atom_site_fract_y
_atom_site_fract_z
Tl1 0.0000 0.0000 0.2043
P1 0.0000 0.0000 0.4249
Pb1 0.0000 0.0000 0.0000
O1 0.0000 0.0000 0.5000
O2 0.0543 0.2772 0.5932


(11)
# TlPPbO2 PBE-GGA optimized geometry
# **DFT total energy**: -21.3 eV/cell
# **Energy relative to the lowest polymorph listed for this composition**: 0 meV per atom
# **Formation energy without anion corrections**: 0.02 eV/atom
data_TlPPbO2
_chemical_formula_sum 'Tl1 P1 Pb1 O2'
_space_group_name_H-M_alt 'P 4/m m m'
_space_group_IT_number 123
_space_group_name_Hall '-P 4 2'
_cell_length_a 4.2411
_cell_length_b 4.2411
_cell_length_c 5.5820
_cell_angle_alpha 90.00
_cell_angle_beta 90.00
_cell_angle_gamma 90.00
loop_
_atom_site_label
_atom_site_fract_x
_atom_site_fract_y
_atom_site_fract_z
Tl1 0.0000 0.0000 0.0000
P1 0.5000 0.5000 0.0000
Pb1 0.5000 0.5000 0.5000
O1 0.0000 0.5000 0.5000


(12)
# Tl3P2PbO8 PBE-GGA optimized geometry
# **DFT total energy**: -83.2 eV/cell
# **Formation energy without anion corrections**: -1.56 eV/atom
data_Tl3P2PbO8
_chemical_formula_sum 'Tl3 P2 Pb1 O8'
_space_group_name_H-M_alt 'P -3 m 1'
_space_group_IT_number 164
_space_group_name_Hall '-P 3 2"'
_cell_length_a 5.8366
_cell_length_b 5.8366
_cell_length_c 7.6514
_cell_angle_alpha 90.00
_cell_angle_beta 90.00
_cell_angle_gamma 120.00
loop_
_atom_site_label
_atom_site_fract_x
_atom_site_fract_y
_atom_site_fract_z
Tl1 0.0000 0.0000 0.0000
Tl2 0.3333 0.6667 0.6818
P1 0.3333 0.6667 0.1916
Pb1 0.0000 0.0000 0.5000
O1 0.1869 0.3737 0.2639
O2 0.3333 0.6667 0.9938